No. 1
A relaxed structure of Pm3Te5S12, computed with PBE-GGA.

Structure (CIF):
```
data_Pm3Te5S12
_chemical_formula_sum 'Pm12 Te20 S48'
_cell_length_a 14.155
_cell_length_b 14.155
_cell_length_c 14.155
_cell_angle_alpha 109.47
_cell_angle_beta 109.47
_cell_angle_gamma 109.47
_symmetry_space_group_name_H-M 'P 1'
_symmetry_Int_Tables_number 1
loop_
_symmetry_equiv_pos_as_xyz
'x,y,z'
loop_
_atom_site_label
_atom_site_type_symbol
_atom_site_fract_x
_atom_site_fract_y
_atom_site_fract_z
Te1 Te 0.000 0.500 0.500
Te2 Te 0.500 0.500 0.000
Te3 Te 0.000 0.000 0.000
Te4 Te 0.000 0.000 0.500
Te5 Te 0.375 0.250 0.125
Te6 Te 0.625 0.750 0.875
Te7 Te 0.750 0.625 0.375
Te8 Te 0.875 0.250 0.625
Te9 Te 0.875 0.625 0.750
Te10 Te 0.250 0.375 0.625
Te11 Te 0.250 0.875 0.125
Te12 Te 0.125 0.375 0.250
Te13 Te 0.750 0.125 0.875
Te14 Te 0.500 0.000 0.500
Te15 Te 0.500 0.000 0.000
Te16 Te 0.500 0.500 0.500
Te17 Te 0.125 0.750 0.375
Te18 Te 0.000 0.500 0.000
Te19 Te 0.625 0.875 0.250
Te20 Te 0.375 0.125 0.750
S1 S 0.666 0.220 0.578
S2 S 0.446 0.666 0.088
S3 S 0.858 0.578 0.912
S4 S 0.422 0.142 0.588
S5 S 0.858 0.280 0.446
S6 S 0.642 0.054 0.220
S7 S 0.088 0.922 0.142
S8 S 0.834 0.912 0.054
S9 S 0.578 0.720 0.666
S10 S 0.912 0.078 0.858
S11 S 0.946 0.358 0.280
S12 S 0.166 0.088 0.946
S13 S 0.422 0.280 0.334
S14 S 0.142 0.720 0.554
S15 S 0.446 0.780 0.858
S16 S 0.412 0.054 0.334
S17 S 0.578 0.858 0.412
S18 S 0.780 0.446 0.358
S19 S 0.922 0.088 0.642
S20 S 0.220 0.666 0.078
S21 S 0.666 0.446 0.588
S22 S 0.280 0.422 0.834
S23 S 0.088 0.166 0.446
S24 S 0.588 0.642 0.422
S25 S 0.588 0.946 0.666
S26 S 0.946 0.588 0.166
S27 S 0.922 0.834 0.780
S28 S 0.720 0.578 0.166
S29 S 0.358 0.946 0.780
S30 S 0.412 0.358 0.578
S31 S 0.078 0.166 0.220
S32 S 0.054 0.412 0.834
S33 S 0.554 0.334 0.912
S34 S 0.554 0.220 0.142
S35 S 0.642 0.588 0.922
S36 S 0.334 0.780 0.422
S37 S 0.334 0.554 0.412
S38 S 0.054 0.642 0.720
S39 S 0.720 0.142 0.054
S40 S 0.078 0.912 0.358
S41 S 0.912 0.834 0.554
S42 S 0.780 0.334 0.922
S43 S 0.834 0.922 0.280
S44 S 0.220 0.554 0.642
S45 S 0.142 0.422 0.088
S46 S 0.358 0.412 0.078
S47 S 0.280 0.858 0.946
S48 S 0.166 0.078 0.720
Pm1 Pm 0.125 0.875 0.750
Pm2 Pm 0.750 0.875 0.625
Pm3 Pm 0.625 0.250 0.375
Pm4 Pm 0.875 0.750 0.125
Pm5 Pm 0.875 0.125 0.250
Pm6 Pm 0.125 0.250 0.875
Pm7 Pm 0.625 0.375 0.750
Pm8 Pm 0.375 0.750 0.625
Pm9 Pm 0.250 0.125 0.375
Pm10 Pm 0.750 0.375 0.125
Pm11 Pm 0.375 0.625 0.250
Pm12 Pm 0.250 0.625 0.875
```

Summary:
Density of states at the Fermi level in states/eV per cell: 41.77
Space-group type: Ia-3d, No. 230
Spin magnetization in μB per formula unit: 0.0
Calculated volume in Å³/f.u.: 545.8
E_form (uncorrected) in eV/f.u.: -9.28

---

No. 2
A relaxed structure of Pm4TeS5, computed with PBE-GGA.

Structure (CIF):
```
data_Pm4TeS5
_chemical_formula_sum 'Pm4 Te1 S5'
_cell_length_a 4.175
_cell_length_b 8.613
_cell_length_c 9.136
_cell_angle_alpha 108.75
_cell_angle_beta 103.21
_cell_angle_gamma 90.00
_symmetry_space_group_name_H-M 'P 1'
_symmetry_Int_Tables_number 1
loop_
_symmetry_equiv_pos_as_xyz
'x,y,z'
loop_
_atom_site_label
_atom_site_type_symbol
_atom_site_fract_x
_atom_site_fract_y
_atom_site_fract_z
S1 S 0.165 0.330 0.330
S2 S 0.835 0.670 0.670
S3 S 0.500 0.500 0.000
S4 S 0.840 0.107 0.681
S5 S 0.160 0.893 0.319
Pm1 Pm 0.006 0.280 0.013
Pm2 Pm 0.994 0.720 0.987
Pm3 Pm 0.692 0.142 0.384
Pm4 Pm 0.308 0.858 0.616
Te1 Te 0.500 0.000 0.000
```

Summary:
Space-group type: C2/m, No. 12
Spin magnetization in μB per formula unit: 0.0
Calculated volume in Å³/f.u.: 301.9
E_form (uncorrected) in eV/f.u.: -18.50

---

No. 3
A relaxed structure of Pm4Te5S, computed with PBE-GGA.

Structure (CIF):
```
data_Pm4Te5S
_chemical_formula_sum 'Pm4 Te5 S1'
_cell_length_a 4.367
_cell_length_b 8.737
_cell_length_c 9.844
_cell_angle_alpha 103.42
_cell_angle_beta 102.81
_cell_angle_gamma 90.00
_symmetry_space_group_name_H-M 'P 1'
_symmetry_Int_Tables_number 1
loop_
_symmetry_equiv_pos_as_xyz
'x,y,z'
loop_
_atom_site_label
_atom_site_type_symbol
_atom_site_fract_x
_atom_site_fract_y
_atom_site_fract_z
Pm1 Pm 0.333 0.906 0.666
Pm2 Pm 0.667 0.094 0.334
Pm3 Pm 0.001 0.244 0.003
Pm4 Pm 0.999 0.756 0.997
S1 S 0.500 0.000 0.000
Te1 Te 0.165 0.830 0.330
Te2 Te 0.835 0.170 0.670
Te3 Te 0.500 0.500 0.000
Te4 Te 0.836 0.661 0.673
Te5 Te 0.164 0.339 0.327
```

Summary:
Density of states at the Fermi level in states/eV per cell: 1.99
Space-group type: C2/m, No. 12
Spin magnetization in μB per formula unit: 0.0
Calculated volume in Å³/f.u.: 355.7
E_form (uncorrected) in eV/f.u.: -14.27

---

No. 4
A relaxed structure of Pm5Te5S, computed with PBE-GGA.

Structure (CIF):
```
data_Pm5Te5S
_chemical_formula_sum 'Pm5 Te5 S1'
_cell_length_a 6.213
_cell_length_b 7.579
_cell_length_c 8.713
_cell_angle_alpha 107.07
_cell_angle_beta 90.00
_cell_angle_gamma 114.20
_symmetry_space_group_name_H-M 'P 1'
_symmetry_Int_Tables_number 1
loop_
_symmetry_equiv_pos_as_xyz
'x,y,z'
loop_
_atom_site_label
_atom_site_type_symbol
_atom_site_fract_x
_atom_site_fract_y
_atom_site_fract_z
Pm1 Pm 0.842 0.685 0.155
Pm2 Pm 0.847 0.694 0.689
Pm3 Pm 0.153 0.306 0.311
Pm4 Pm 0.158 0.315 0.845
Pm5 Pm 0.500 0.000 0.000
Te1 Te 0.661 0.321 0.818
Te2 Te 0.000 0.000 0.500
Te3 Te 0.329 0.658 0.661
Te4 Te 0.671 0.342 0.339
Te5 Te 0.339 0.679 0.182
S1 S 0.000 0.000 0.000
```

Summary:
Density of states at the Fermi level in states/eV per cell: 4.47
Space-group type: C2/m, No. 12
Spin magnetization in μB per formula unit: 0.0
Calculated volume in Å³/f.u.: 354.3
E_form (uncorrected) in eV/f.u.: -16.88

---

No. 5
A relaxed structure of Pm4Te3S, computed with PBE-GGA.

Structure (CIF):
```
data_Pm4Te3S
_chemical_formula_sum 'Pm8 Te6 S2'
_cell_length_a 6.078
_cell_length_b 6.437
_cell_length_c 12.185
_cell_angle_alpha 90.00
_cell_angle_beta 90.00
_cell_angle_gamma 90.00
_symmetry_space_group_name_H-M 'P 1'
_symmetry_Int_Tables_number 1
loop_
_symmetry_equiv_pos_as_xyz
'x,y,z'
loop_
_atom_site_label
_atom_site_type_symbol
_atom_site_fract_x
_atom_site_fract_y
_atom_site_fract_z
Pm1 Pm 0.565 0.197 0.000
Pm2 Pm 0.565 0.800 0.731
Pm3 Pm 0.065 0.803 0.500
Pm4 Pm 0.064 0.795 0.000
Pm5 Pm 0.564 0.205 0.500
Pm6 Pm 0.565 0.800 0.269
Pm7 Pm 0.065 0.200 0.231
Pm8 Pm 0.065 0.200 0.769
Te1 Te 0.564 0.704 0.000
Te2 Te 0.064 0.709 0.250
Te3 Te 0.564 0.291 0.250
Te4 Te 0.564 0.291 0.750
Te5 Te 0.064 0.709 0.750
Te6 Te 0.064 0.296 0.500
S1 S 0.565 0.763 0.500
S2 S 0.065 0.237 0.000
```

Summary:
Density of states at the Fermi level in states/eV per cell: 7.21
Space-group type: Pmmn, No. 59
Spin magnetization in μB per formula unit: 0.0
Calculated volume in Å³/f.u.: 238.4
E_form (uncorrected) in eV/f.u.: -12.00

---

No. 6
A relaxed structure of Pm5Te5S2, computed with PBE-GGA.

Structure (CIF):
```
data_Pm5Te5S2
_chemical_formula_sum 'Pm5 Te5 S2'
_cell_length_a 4.284
_cell_length_b 7.492
_cell_length_c 12.736
_cell_angle_alpha 105.50
_cell_angle_beta 90.00
_cell_angle_gamma 106.61
_symmetry_space_group_name_H-M 'P 1'
_symmetry_Int_Tables_number 1
loop_
_symmetry_equiv_pos_as_xyz
'x,y,z'
loop_
_atom_site_label
_atom_site_type_symbol
_atom_site_fract_x
_atom_site_fract_y
_atom_site_fract_z
S1 S 0.959 0.918 0.206
S2 S 0.041 0.082 0.794
Te1 Te 0.500 0.000 0.500
Te2 Te 0.334 0.668 0.946
Te3 Te 0.249 0.499 0.646
Te4 Te 0.751 0.501 0.354
Te5 Te 0.666 0.332 0.054
Pm1 Pm 0.895 0.789 0.601
Pm2 Pm 0.676 0.352 0.801
Pm3 Pm 0.105 0.211 0.399
Pm4 Pm 0.000 0.000 0.000
Pm5 Pm 0.324 0.648 0.199
```

Summary:
Density of states at the Fermi level in states/eV per cell: 1.88
Space-group type: C2/m, No. 12
Spin magnetization in μB per formula unit: 0.0
Calculated volume in Å³/f.u.: 376.2
E_form (uncorrected) in eV/f.u.: -19.31

---

No. 7
A relaxed structure of Pm5Te4S, computed with PBE-GGA.

Structure (CIF):
```
data_Pm5Te4S
_chemical_formula_sum 'Pm5 Te4 S1'
_cell_length_a 4.328
_cell_length_b 4.328
_cell_length_c 16.292
_cell_angle_alpha 97.63
_cell_angle_beta 97.63
_cell_angle_gamma 90.00
_symmetry_space_group_name_H-M 'P 1'
_symmetry_Int_Tables_number 1
loop_
_symmetry_equiv_pos_as_xyz
'x,y,z'
loop_
_atom_site_label
_atom_site_type_symbol
_atom_site_fract_x
_atom_site_fract_y
_atom_site_fract_z
Pm1 Pm 0.915 0.915 0.831
Pm2 Pm 0.289 0.289 0.578
Pm3 Pm 0.500 0.500 0.000
Pm4 Pm 0.711 0.711 0.422
Pm5 Pm 0.085 0.085 0.169
Te1 Te 0.810 0.810 0.620
Te2 Te 0.398 0.398 0.796
Te3 Te 0.602 0.602 0.204
Te4 Te 0.190 0.190 0.380
S1 S 0.000 0.000 0.000
```

Summary:
Density of states at the Fermi level in states/eV per cell: 4.46
Space-group type: I4/mmm, No. 139
Spin magnetization in μB per formula unit: 0.0
Calculated volume in Å³/f.u.: 299.8
E_form (uncorrected) in eV/f.u.: -15.09

---

No. 8
A relaxed structure of Pm8TeS6, computed with PBE-GGA.

Structure (CIF):
```
data_Pm8TeS6
_chemical_formula_sum 'Pm8 Te1 S6'
_cell_length_a 4.119
_cell_length_b 10.444
_cell_length_c 10.444
_cell_angle_alpha 120.00
_cell_angle_beta 90.00
_cell_angle_gamma 90.00
_symmetry_space_group_name_H-M 'P 1'
_symmetry_Int_Tables_number 1
loop_
_symmetry_equiv_pos_as_xyz
'x,y,z'
loop_
_atom_site_label
_atom_site_type_symbol
_atom_site_fract_x
_atom_site_fract_y
_atom_site_fract_z
Pm1 Pm 0.748 0.333 0.667
Pm2 Pm 0.256 0.660 0.964
Pm3 Pm 0.256 0.304 0.340
Pm4 Pm 0.744 0.964 0.304
Pm5 Pm 0.744 0.696 0.660
Pm6 Pm 0.744 0.340 0.036
Pm7 Pm 0.256 0.036 0.696
Pm8 Pm 0.252 0.667 0.333
S1 S 0.247 0.518 0.653
S2 S 0.247 0.135 0.482
S3 S 0.753 0.865 0.518
S4 S 0.753 0.653 0.135
S5 S 0.753 0.482 0.347
S6 S 0.247 0.347 0.865
Te1 Te 0.500 0.000 0.000
```

Summary:
Density of states at the Fermi level in states/eV per cell: 6.23
Space-group type: P-3, No. 147
Spin magnetization in μB per formula unit: 0.0
Calculated volume in Å³/f.u.: 389.1
E_form (uncorrected) in eV/f.u.: -24.43

---

No. 9
A relaxed structure of PmThTeS, computed with PBE-GGA.

Structure (CIF):
```
data_PmThTeS
_chemical_formula_sum 'Pm1 Th1 Te1 S1'
_cell_length_a 4.074
_cell_length_b 4.069
_cell_length_c 7.969
_cell_angle_alpha 90.00
_cell_angle_beta 104.87
_cell_angle_gamma 119.95
_symmetry_space_group_name_H-M 'P 1'
_symmetry_Int_Tables_number 1
loop_
_symmetry_equiv_pos_as_xyz
'x,y,z'
loop_
_atom_site_label
_atom_site_type_symbol
_atom_site_fract_x
_atom_site_fract_y
_atom_site_fract_z
Pm1 Pm 0.111 0.953 0.080
Te1 Te 0.966 0.381 0.363
Th1 Th 0.495 0.145 0.655
S1 S 0.306 0.551 0.872
```

Summary:
Density of states at the Fermi level in states/eV per cell: 4.13
Space-group type: Cm, No. 8
Spin magnetization in μB per formula unit: 0.0
Calculated volume in Å³/f.u.: 109.3
E_form (uncorrected) in eV/f.u.: -6.20

---

No. 10
A relaxed structure of PmTlTeS, computed with PBE-GGA.

Structure (CIF):
```
data_PmTlTeS
_chemical_formula_sum 'Pm1 Tl1 Te1 S1'
_cell_length_a 4.232
_cell_length_b 4.232
_cell_length_c 8.658
_cell_angle_alpha 75.85
_cell_angle_beta 75.85
_cell_angle_gamma 60.00
_symmetry_space_group_name_H-M 'P 1'
_symmetry_Int_Tables_number 1
loop_
_symmetry_equiv_pos_as_xyz
'x,y,z'
loop_
_atom_site_label
_atom_site_type_symbol
_atom_site_fract_x
_atom_site_fract_y
_atom_site_fract_z
Te1 Te 0.778 0.778 0.665
Tl1 Tl 0.203 0.203 0.392
Pm1 Pm 0.361 0.361 0.917
S1 S 0.637 0.637 0.090
```

Summary:
Space-group type: R3m, No. 160
Spin magnetization in μB per formula unit: 0.0
Calculated volume in Å³/f.u.: 128.8
E_form (uncorrected) in eV/f.u.: -4.62

---

No. 11
A relaxed structure of PmTmTeS, computed with PBE-GGA.

Structure (CIF):
```
data_PmTmTeS
_chemical_formula_sum 'Pm1 Tm1 Te1 S1'
_cell_length_a 3.979
_cell_length_b 3.982
_cell_length_c 7.902
_cell_angle_alpha 90.00
_cell_angle_beta 104.57
_cell_angle_gamma 120.02
_symmetry_space_group_name_H-M 'P 1'
_symmetry_Int_Tables_number 1
loop_
_symmetry_equiv_pos_as_xyz
'x,y,z'
loop_
_atom_site_label
_atom_site_type_symbol
_atom_site_fract_x
_atom_site_fract_y
_atom_site_fract_z
S1 S 0.482 0.139 0.636
Te1 Te 0.126 0.961 0.102
Tm1 Tm 0.289 0.542 0.847
Pm1 Pm 0.981 0.389 0.385
```

Summary:
Density of states at the Fermi level in states/eV per cell: 1.97
Space-group type: R3m, No. 160
Spin magnetization in μB per formula unit: 0.0
Calculated volume in Å³/f.u.: 103.7
E_form (uncorrected) in eV/f.u.: -6.10

---

No. 12
A relaxed structure of PmTmTe2S, computed with PBE-GGA.

Structure (CIF):
```
data_PmTmTe2S
_chemical_formula_sum 'Pm2 Tm2 Te4 S2'
_cell_length_a 4.420
_cell_length_b 4.420
_cell_length_c 15.593
_cell_angle_alpha 90.00
_cell_angle_beta 90.00
_cell_angle_gamma 90.00
_symmetry_space_group_name_H-M 'P 1'
_symmetry_Int_Tables_number 1
loop_
_symmetry_equiv_pos_as_xyz
'x,y,z'
loop_
_atom_site_label
_atom_site_type_symbol
_atom_site_fract_x
_atom_site_fract_y
_atom_site_fract_z
Te1 Te 0.000 0.500 0.705
Te2 Te 0.500 0.000 0.908
Te3 Te 0.500 0.000 0.295
Te4 Te 0.000 0.500 0.092
Pm1 Pm 0.500 0.000 0.606
Pm2 Pm 0.000 0.500 0.394
S1 S 0.000 0.000 0.500
S2 S 0.500 0.500 0.500
Tm1 Tm 0.000 0.500 0.889
Tm2 Tm 0.500 0.000 0.111
```

Summary:
Density of states at the Fermi level in states/eV per cell: 2.82
Space-group type: P4/nmm, No. 129
Spin magnetization in μB per formula unit: 0.0
Calculated volume in Å³/f.u.: 152.3
E_form (uncorrected) in eV/f.u.: -7.31